VASP calculation (PBE-GGA) on crystalline PrHo2Th3 at its relaxed geometry.

Geometry as CIF:
```
data_PrHo2Th3
_cell_length_a 15.221
_cell_length_b 5.052
_cell_length_c 11.348
_cell_angle_alpha 90.00
_cell_angle_beta 116.54
_cell_angle_gamma 90.00
_space_group_name_H-M_alt 'C 1 2/m 1'
_space_group_IT_number 12
loop_
_space_group_symop_operation_xyz
'x,y,z'
'-x,-y,-z'
'-x,y,-z'
'x,-y,z'
'x+1/2,y+1/2,z'
'-x+1/2,-y+1/2,-z'
'-x+1/2,y+1/2,-z'
'x+1/2,-y+1/2,z'
loop_
_atom_site_label
_atom_site_type_symbol
_atom_site_fract_x
_atom_site_fract_y
_atom_site_fract_z
Pr1 Pr 0.128 0.000 0.130
Ho1 Ho 0.041 0.500 0.868
Ho2 Ho 0.205 0.000 0.869
Th1 Th 0.042 0.000 0.378
Th2 Th 0.123 0.500 0.621
Th3 Th 0.210 0.500 0.379
```

Magnetic moment, μB per formula unit: 0.00
E, eV/atom: -6.0005
Formation enthalpy at 0 K, eV/atom: 0.032

***

VASP calculation (PBE-GGA) on crystalline LiPmZn2 at its relaxed geometry.

Geometry as CIF:
```
data_LiPmZn2
_cell_length_a 3.369
_cell_length_b 3.369
_cell_length_c 7.012
_cell_angle_alpha 90.00
_cell_angle_beta 90.00
_cell_angle_gamma 90.00
_space_group_name_H-M_alt 'P 4/m m m'
_space_group_IT_number 123
_space_group_name_Hall '-P 4 2'
loop_
_atom_site_label
_atom_site_type_symbol
_atom_site_fract_x
_atom_site_fract_y
_atom_site_fract_z
Li1 Li 0.000 0.000 0.000
Pm1 Pm 0.000 0.000 0.500
Zn1 Zn 0.500 0.500 0.199
```

Magnetic moment, μB per formula unit: 0.00
E, eV/atom: -2.4874
Formation enthalpy at 0 K, eV/atom: -0.184
Offset from the most stable computed form, eV per atom: 0.070